# 1
# PBE-GGA YPRhO2, relaxed
# * energy relative to the elements, uncorrected: -327 meV/atom
# * energy relative to the lowest polymorph listed for this composition: 568 meV/atom
data_YPRhO2
_cell_length_a 4.1124
_cell_length_b 4.1124
_cell_length_c 6.0707
_cell_angle_alpha 90.00
_cell_angle_beta 90.00
_cell_angle_gamma 90.00
_space_group_name_H-M_alt 'P 4/m m m'
_space_group_IT_number 123
_space_group_name_Hall '-P 4 2'
loop_
_atom_site_label
_atom_site_type_symbol
_atom_site_fract_x
_atom_site_fract_y
_atom_site_fract_z
Y1 Y 0.0000 0.0000 0.0000
P1 P 0.0000 0.0000 0.5000
Rh1 Rh 0.5000 0.5000 0.5000
O1 O 0.0000 0.5000 0.0000


# 2
# PBE-GGA Li8Ga2Cu, relaxed
# * ΔE_f: -1.64 eV/f.u.
# * energy relative to the lowest polymorph listed for this composition: 0 meV/atom
data_Li8Ga2Cu
_cell_length_a 15.0344
_cell_length_b 4.3876
_cell_length_c 5.2282
_cell_angle_alpha 90.00
_cell_angle_beta 90.11
_cell_angle_gamma 90.00
_space_group_name_H-M_alt 'C 1 2/m 1'
_space_group_IT_number 12
loop_
_space_group_symop_operation_xyz
'x,y,z'
'-x,-y,-z'
'-x,y,-z'
'x,-y,z'
'x+1/2,y+1/2,z'
'-x+1/2,-y+1/2,-z'
'-x+1/2,y+1/2,-z'
'x+1/2,-y+1/2,z'
loop_
_atom_site_label
_atom_site_type_symbol
_atom_site_fract_x
_atom_site_fract_y
_atom_site_fract_z
Li1 Li 0.0442 0.0000 0.2553
Li2 Li 0.0947 0.5000 0.5587
Li3 Li 0.1429 0.0000 0.8311
Li4 Li 0.1811 0.5000 0.1074
Ga1 Ga 0.2237 0.0000 0.3738
Cu1 Cu 0.0000 0.5000 0.0000


# 3
# PBE-GGA Mn3Si5, relaxed
# * energy relative to the elements, uncorrected: -148 meV/atom
# * energy relative to the lowest polymorph listed for this composition: 0 meV/atom
data_Mn3Si5
_cell_length_a 6.8337
_cell_length_b 6.9220
_cell_length_c 3.9096
_cell_angle_alpha 90.00
_cell_angle_beta 90.00
_cell_angle_gamma 90.00
_space_group_name_H-M_alt 'C m m m'
_space_group_IT_number 65
_space_group_name_Hall '-C 2 2'
loop_
_atom_site_label
_atom_site_type_symbol
_atom_site_fract_x
_atom_site_fract_y
_atom_site_fract_z
Mn1 Mn 0.0000 0.0000 0.0000
Mn2 Mn 0.0000 0.3012 0.5000
Si1 Si 0.0000 0.5000 0.0000
Si2 Si 0.2018 0.0000 0.5000
Si3 Si 0.2500 0.2500 0.0000